{
  "formula": "Th4Hg5Ir2",
  "functional": "PBE",
  "state": "optimized geometry",
  "final_energy_ev_per_atom": -4.94,
  "mass_density_g_cm3": 13.35,
  "lattice": [[-1.774, -3.244, -0.733], [5.408, -3.913, 4.226], [-5.947, 1.557, 7.512]],
  "species": ["Ir", "Ir", "Th", "Th", "Th", "Th", "Hg", "Hg", "Hg", "Hg", "Hg"],
  "frac_coords": [[0.000, 0.085, 0.639], [0.000, 0.915, 0.361], [0.500, 0.217, 0.437], [0.500, 0.783, 0.563], [0.500, 0.187, 0.848], [0.500, 0.813, 0.152], [0.000, 0.160, 0.136], [0.000, 0.500, 0.000], [0.000, 0.840, 0.864], [0.000, 0.533, 0.329], [0.000, 0.467, 0.671]]
}